Density functional theory data (PBE) for Tb2Cu3Ge4Au after structural relaxation.

Computed properties:
energy of formation from the pure elements: -478 meV per atom
M_tot: 0.000 μB/atom
electronic total energy: -48.076 eV/cell

Cell lengths 4.207, 4.207, 10.174 Å; angles 90.00, 90.00, 90.00 degrees
Atoms (fractional coordinates):
Tb 0.500 0.000 0.245
Tb 0.000 0.500 0.755
Cu 0.000 0.000 0.500
Cu 0.500 0.000 0.873
Cu 0.000 0.500 0.127
Ge 0.500 0.500 0.000
Ge 0.000 0.000 0.000
Ge 0.500 0.000 0.643
Ge 0.000 0.500 0.357
Au 0.500 0.500 0.500